Entry 1:
SrCaCr2, relaxed, DFT PBE; ΔE_f = 0.782 eV per atom; offset from the most stable computed form = 286.4 meV per atom
1.0
4.2564 0.0000 0.0000
0.0000 4.8440 0.0000
-2.1180 0.0000 6.1187
Sr Ca Cr
1 1 2
direct
0.0000 0.0000 0.0000
0.7038 0.5000 0.4067
0.2795 0.0000 0.5581
0.4126 0.5000 0.8252

***

Entry 2:
SrCaCr, relaxed, DFT PBE; ΔE_f = 0.503 eV per atom; offset from the most stable computed form = 0.0 meV per atom
1.0
-1.9993 1.9993 6.6624
1.9993 -1.9993 6.6624
1.9993 1.9993 -6.6624
Sr Ca Cr
1 1 1
direct
0.0000 0.0000 0.0000
0.7176 0.7176 0.0000
0.3454 0.3454 0.0000